[1]
A relaxed structure of YFeRh, computed with PBE.

Cell lengths 4.476, 4.476, 4.476 Å; angles 60.00, 60.00, 60.00 degrees
Positions (direct):
Y: 0.000 0.000 0.000
Fe: 0.250 0.250 0.250
Rh: 0.750 0.750 0.750

## Properties
Space group: F-43m (216)
ΔE_f (meV/atom): 627
Density (g/cm3): 6.48
DOS(E_F) (states/eV/f.u.): 6.2


[2]
A relaxed structure of YFeRh3, computed with PBE.

Cell lengths 4.537, 4.537, 4.537 Å; angles 90.00, 90.00, 90.00 degrees
Positions (direct):
Y: 0.000 0.000 0.000
Fe: 0.500 0.500 0.500
Rh: 0.000 0.500 0.500
Rh: 0.500 0.000 0.500
Rh: 0.500 0.500 0.000

## Properties
Space group: Pm-3m (221)
ΔE_f (meV/atom): 122
Density (g/cm3): 8.06
Energy relative to the lowest polymorph listed for this composition (kJ/mol of formula units): 0
DOS(E_F) (states/eV/f.u.): 4.1


[3]
A relaxed structure of YFeRh, computed with PBE.

Cell lengths 5.277, 5.277, 5.277 Å; angles 123.32, 116.09, 90.62 degrees
Positions (direct):
Y: 0.370 0.120 0.250
Y: 0.630 0.880 0.750
Fe: 0.000 0.000 0.500
Fe: 0.000 0.500 0.000
Rh: 0.000 0.500 0.500
Rh: 0.500 0.500 0.000

## Properties
Space group: Imma (74)
ΔE_f (meV/atom): -462
Density (g/cm3): 7.92
DOS(E_F) (states/eV/f.u.): 2.9


[4]
A relaxed structure of Y2Zn2FeRh5, computed with PBE.

Cell lengths 9.774, 9.774, 3.480 Å; angles 90.00, 90.00, 90.00 degrees
Positions (direct):
Y: 0.173 0.327 0.000
Y: 0.327 0.827 0.000
Y: 0.673 0.173 0.000
Y: 0.827 0.673 0.000
Zn: 0.128 0.628 0.000
Zn: 0.372 0.128 0.000
Zn: 0.628 0.872 0.000
Zn: 0.872 0.372 0.000
Fe: 0.000 0.000 0.000
Fe: 0.500 0.500 0.000
Rh: 0.000 0.500 0.500
Rh: 0.062 0.804 0.500
Rh: 0.196 0.062 0.500
Rh: 0.304 0.562 0.500
Rh: 0.438 0.304 0.500
Rh: 0.500 0.000 0.500
Rh: 0.562 0.696 0.500
Rh: 0.696 0.438 0.500
Rh: 0.804 0.938 0.500
Rh: 0.938 0.196 0.500

## Properties
Space group: P4/mbm (127)
ΔE_f (meV/atom): -462
Density (g/cm3): 8.78
DOS(E_F) (states/eV/f.u.): 5.4


[5]
A relaxed structure of YZrFeRh, computed with PBE.

Cell lengths 4.687, 4.687, 4.687 Å; angles 60.00, 60.00, 60.00 degrees
Positions (direct):
Y: 0.000 0.000 0.000
Zr: 0.500 0.500 0.500
Fe: 0.750 0.750 0.750
Rh: 0.250 0.250 0.250

## Properties
Space group: F-43m (216)
ΔE_f (meV/atom): -346
Density (g/cm3): 7.73
DOS(E_F) (states/eV/f.u.): 2.8


[6]
A relaxed structure of ZnFeRh2, computed with PBE.

Cell lengths 5.449, 5.449, 5.449 Å; angles 104.27, 104.27, 120.47 degrees
Positions (direct):
Zn: 0.000 0.000 0.000
Zn: 0.750 0.250 0.500
Fe: 0.250 0.750 0.500
Fe: 0.500 0.500 0.000
Rh: 0.143 0.625 0.018
Rh: 0.375 0.393 0.518
Rh: 0.607 0.125 0.982
Rh: 0.875 0.857 0.482

## Properties
Space group: I-42d (122)
ΔE_f (meV/atom): 259
Density (g/cm3): 8.97
DOS(E_F) (states/eV/f.u.): 2.1


[7]
A relaxed structure of ZnFeRh3, computed with PBE.

Cell lengths 4.472, 4.472, 4.472 Å; angles 90.00, 90.00, 90.00 degrees
Positions (direct):
Zn: 0.000 0.000 0.000
Fe: 0.500 0.500 0.500
Rh: 0.000 0.000 0.500
Rh: 0.000 0.500 0.000
Rh: 0.500 0.000 0.000

## Properties
Space group: Pm-3m (221)
ΔE_f (meV/atom): 1524
Density (g/cm3): 7.99
Energy relative to the lowest polymorph listed for this composition (kJ/mol of formula units): 276
DOS(E_F) (states/eV/f.u.): 11.7


[8]
A relaxed structure of ZnFeRh4, computed with PBE.

Cell lengths 4.010, 4.010, 7.133 Å; angles 106.26, 106.26, 59.99 degrees
Positions (direct):
Zn: 0.000 0.000 0.000
Fe: 0.500 0.500 0.500
Rh: 0.125 0.125 0.376
Rh: 0.381 0.381 0.143
Rh: 0.619 0.619 0.857
Rh: 0.875 0.875 0.624

## Properties
Space group: C2/m (12)
ΔE_f (meV/atom): 297
Density (g/cm3): 9.41
Energy relative to the lowest polymorph listed for this composition (kJ/mol of formula units): 222
DOS(E_F) (states/eV/f.u.): 8.9